# 1
Computed, not measured: an optimized crystal structure of TlZnSe at the PBE-GGA level of DFT.

Volume, Å³ per atom: 26.25
Energy above the most stable polymorph in this dataset, meV per atom: 245.4
Space group: F-43m, No. 216
Crystal system: cubic
ρ, Mg/m³: 7.4

Structure (CIF):
```
data_TlZnSe
_chemical_formula_sum 'Tl1 Zn1 Se1'
_space_group_name_H-M_alt 'P 1'
_space_group_IT_number 1
_cell_length_a 4.811
_cell_length_b 4.811
_cell_length_c 4.811
_cell_angle_alpha 60.00
_cell_angle_beta 60.00
_cell_angle_gamma 60.00
loop_
_space_group_symop_operation_xyz
'x,y,z'
loop_
_atom_site_label
_atom_site_type_symbol
_atom_site_fract_x
_atom_site_fract_y
_atom_site_fract_z
Tl1 Tl 0.500 0.500 0.500
Se1 Se 0.000 0.000 0.000
Zn1 Zn 0.250 0.250 0.250
```

# 2
Computed, not measured: an optimized crystal structure of Tl3ZnSe at the PBE-GGA level of DFT.

Volume, Å³ per atom: 30.23
Energy above the most stable polymorph in this dataset, meV per atom: 0.0
Space group: Pm-3m, No. 221
Crystal system: cubic
ρ, Mg/m³: 8.3

Structure (CIF):
```
data_Tl3ZnSe
_chemical_formula_sum 'Tl3 Zn1 Se1'
_space_group_name_H-M_alt 'P 1'
_space_group_IT_number 1
_cell_length_a 5.327
_cell_length_b 5.327
_cell_length_c 5.327
_cell_angle_alpha 90.00
_cell_angle_beta 90.00
_cell_angle_gamma 90.00
loop_
_space_group_symop_operation_xyz
'x,y,z'
loop_
_atom_site_label
_atom_site_type_symbol
_atom_site_fract_x
_atom_site_fract_y
_atom_site_fract_z
Tl1 Tl 0.500 0.000 0.000
Tl2 Tl 0.000 0.500 0.000
Tl3 Tl 0.000 0.000 0.500
Se1 Se 0.500 0.500 0.500
Zn1 Zn 0.000 0.000 0.000
```

# 3
Computed, not measured: an optimized crystal structure of Zr3Tl2Se6 at the PBE-GGA level of DFT.

Volume, Å³ per atom: 27.71
Energy, eV per atom: -5.7827
Space group: C2/m, No. 12
Crystal system: monoclinic
ρ, Mg/m³: 6.3

Structure (CIF):
```
data_Zr3Tl2Se6
_chemical_formula_sum 'Zr3 Tl2 Se6'
_space_group_name_H-M_alt 'P 1'
_space_group_IT_number 1
_cell_length_a 6.576
_cell_length_b 6.578
_cell_length_c 8.428
_cell_angle_alpha 82.49
_cell_angle_beta 74.84
_cell_angle_gamma 60.01
loop_
_space_group_symop_operation_xyz
'x,y,z'
loop_
_atom_site_label
_atom_site_type_symbol
_atom_site_fract_x
_atom_site_fract_y
_atom_site_fract_z
Se1 Se 0.733 0.000 0.799
Se2 Se 0.267 0.000 0.201
Se3 Se 0.401 0.668 0.798
Se4 Se 0.069 0.332 0.798
Se5 Se 0.931 0.668 0.202
Se6 Se 0.599 0.332 0.202
Zr1 Zr 0.332 0.336 0.000
Zr2 Zr 0.000 0.000 0.000
Zr3 Zr 0.668 0.664 0.000
Tl1 Tl 0.166 0.667 0.500
Tl2 Tl 0.834 0.333 0.500
```